Run 1
LiFeRe2: optimized geometry, PBE.

Geometry as POSCAR:
```
LiFeRe2
1.0
0.0000 2.9295 2.9295
2.9295 0.0000 2.9295
2.9295 2.9295 0.0000
Li Fe Re
1 1 2
Direct
0.0000 0.0000 0.0000 Li
0.5000 0.5000 0.5000 Fe
0.2500 0.2500 0.2500 Re
0.7500 0.7500 0.7500 Re
```

***

Run 2
LiFeRe2: optimized geometry, PBE.

Geometry as POSCAR:
```
LiFeRe2
1.0
3.1410 0.0000 0.0000
0.0000 3.1410 0.0000
0.0000 0.0000 5.2311
Li Fe Re
1 1 2
Direct
0.0000 0.0000 0.0000 Li
0.0000 0.0000 0.5000 Fe
0.5000 0.5000 0.2449 Re
0.5000 0.5000 0.7551 Re
```

***

Stability ranking, top entry: run 2; the second entry is 58 meV per atom less favorable.

***

Run 1
LiFe3Re: optimized geometry, PBE.

Geometry as POSCAR:
```
LiFe3Re
1.0
3.7987 0.0000 0.0000
0.0000 3.7987 0.0000
0.0000 0.0000 3.7987
Li Fe Re
1 3 1
Direct
0.0000 0.0000 0.0000 Li
0.0000 0.0000 0.5000 Fe
0.0000 0.5000 0.0000 Fe
0.5000 0.0000 0.0000 Fe
0.5000 0.5000 0.5000 Re
```

***

Run 2
LiFe3Re: optimized geometry, PBE.

Geometry as POSCAR:
```
LiFe3Re
1.0
4.5343 0.0000 0.0000
0.0000 4.5343 0.0000
0.0000 0.0000 4.5343
Li Fe Re
1 3 1
Direct
0.0000 0.0000 0.0000 Li
0.0000 0.5000 0.5000 Fe
0.5000 0.0000 0.5000 Fe
0.5000 0.5000 0.0000 Fe
0.5000 0.5000 0.5000 Re
```

***

Stability ranking, top entry: run 1; the second entry is 236 meV per atom less favorable.

***

Run 1
LiFeRh: optimized geometry, PBE.

Geometry as POSCAR:
```
LiFeRh
1.0
4.3675 -1.3324 0.0000
4.3675 1.3324 0.0000
-2.8611 0.0000 6.5433
Li Fe Rh
2 2 2
Direct
0.0000 0.0000 0.0000 Li
0.6469 0.6469 0.3383 Li
0.3310 0.3310 0.6575 Fe
0.9741 0.9741 0.5140 Fe
0.3305 0.3305 0.1870 Rh
0.6722 0.6722 0.8173 Rh
```

***

Run 2
LiFeRh: optimized geometry, PBE.

Geometry as POSCAR:
```
LiFeRh
1.0
0.0000 2.7461 2.7461
2.7461 0.0000 2.7461
2.7461 2.7461 0.0000
Li Fe Rh
1 1 1
Direct
0.0000 0.0000 0.0000 Li
0.2500 0.2500 0.2500 Fe
0.5000 0.5000 0.5000 Rh
```

***

Run 3
LiFeRh: optimized geometry, PBE.

Geometry as POSCAR:
```
LiFeRh
1.0
4.3258 0.0000 0.0000
-2.1629 3.7463 0.0000
0.0000 0.0000 5.0510
Li Fe Rh
2 2 2
Direct
0.0000 0.0000 0.0000 Li
0.0000 0.0000 0.5000 Li
0.3333 0.6667 0.2500 Fe
0.6667 0.3333 0.7500 Fe
0.3333 0.6667 0.7500 Rh
0.6667 0.3333 0.2500 Rh
```

***

Stability ranking, top entry: run 3; the second entry is 18 meV per atom less favorable.

***

Run 1
LiFeRh: optimized geometry, PBE.

Geometry as POSCAR:
```
LiFeRh
1.0
4.3433 -2.1115 0.0000
4.3433 2.1115 0.0000
-2.7253 0.0000 4.2885
Li Fe Rh
2 2 2
Direct
0.0022 0.0022 0.2560 Li
0.9978 0.9978 0.7440 Li
0.3328 0.3328 0.7485 Fe
0.6672 0.6672 0.2515 Fe
0.3281 0.3281 0.2457 Rh
0.6719 0.6719 0.7543 Rh
```

***

Run 2
LiFeRh: optimized geometry, PBE.

Geometry as POSCAR:
```
LiFeRh
1.0
4.1273 -1.3075 0.0000
4.1273 1.3075 0.0000
-0.7512 0.0000 7.3273
Li Fe Rh
2 2 2
Direct
0.0000 0.0000 0.0000 Li
0.2440 0.2440 0.8487 Li
0.0261 0.0261 0.3525 Fe
0.7551 0.7551 0.5202 Fe
0.4968 0.4968 0.6559 Rh
0.7476 0.7476 0.1907 Rh
```

***

Run 3
LiFeRh: optimized geometry, PBE.

Geometry as POSCAR:
```
LiFeRh
1.0
4.1096 0.0000 0.0000
-2.0548 3.5590 0.0000
0.0000 0.0000 5.3392
Li Fe Rh
2 2 2
Direct
0.0000 0.0000 0.0000 Li
0.0000 0.0000 0.5000 Li
0.6667 0.3333 0.1910 Fe
0.6667 0.3333 0.8090 Fe
0.3333 0.6667 0.2449 Rh
0.3333 0.6667 0.7551 Rh
```

***

Run 4
LiFeRh: optimized geometry, PBE.

Geometry as POSCAR:
```
LiFeRh
1.0
4.4229 -1.3555 0.0000
4.4229 1.3555 0.0000
-3.4081 0.0000 6.4732
Li Fe Rh
2 2 2
Direct
0.1672 0.1672 0.3346 Li
0.8328 0.8328 0.6654 Li
0.1658 0.1658 0.8407 Fe
0.8342 0.8342 0.1593 Fe
0.5000 0.5000 0.0000 Rh
0.5000 0.5000 0.5000 Rh
```

***

Stability ranking, top entry: run 1; the second entry is 27 meV per atom less favorable.

***

Run 1
LiFeRh: optimized geometry, PBE.

Geometry as POSCAR:
```
LiFeRh
1.0
4.2001 0.0000 0.0000
-2.1000 3.6374 0.0000
0.0000 0.0000 5.1542
Li Fe Rh
2 2 2
Direct
0.0000 0.0000 0.0000 Li
0.3333 0.6667 0.1596 Li
0.3333 0.6667 0.6679 Fe
0.6667 0.3333 0.3293 Fe
0.0000 0.0000 0.4942 Rh
0.6667 0.3333 0.8303 Rh
```

***

Run 2
LiFeRh: optimized geometry, PBE.

Geometry as POSCAR:
```
LiFeRh
1.0
2.1080 -4.3525 0.0000
2.1080 4.3525 0.0000
-0.0122 0.0000 4.3438
Li Fe Rh
2 2 2
Direct
0.0777 0.9223 0.7500 Li
0.9223 0.0777 0.2500 Li
0.2586 0.7414 0.2500 Fe
0.7414 0.2586 0.7500 Fe
0.4027 0.5973 0.7500 Rh
0.5973 0.4027 0.2500 Rh
```

***

Run 3
LiFeRh: optimized geometry, PBE.

Geometry as POSCAR:
```
LiFeRh
1.0
4.8859 0.0000 0.0000
0.0000 4.1846 0.0000
0.0000 0.0000 7.6098
Li Fe Rh
4 4 4
Direct
0.1316 0.2500 0.0224 Li
0.3684 0.7500 0.5224 Li
0.6316 0.2500 0.4776 Li
0.8684 0.7500 0.9776 Li
0.1554 0.2500 0.6931 Fe
0.3446 0.7500 0.1931 Fe
0.6554 0.2500 0.8069 Fe
0.8446 0.7500 0.3069 Fe
0.1242 0.2500 0.3590 Rh
0.3758 0.7500 0.8590 Rh
0.6242 0.2500 0.1410 Rh
0.8758 0.7500 0.6410 Rh
```

***

Run 4
LiFeRh: optimized geometry, PBE.

Geometry as POSCAR:
```
LiFeRh
1.0
4.2316 0.0000 0.0000
0.0000 2.9748 0.0000
-2.0934 0.0000 6.2409
Li Fe Rh
2 2 2
Direct
0.0000 0.0000 0.0000 Li
0.1659 0.5000 0.3327 Li
0.3413 0.0000 0.6780 Fe
0.6676 0.0000 0.3363 Fe
0.5064 0.5000 0.0128 Rh
0.8309 0.5000 0.6574 Rh
```

***

Stability ranking, top entry: run 2; the second entry is 13 meV per atom less favorable.

***

Run 1
LiFeRh2: optimized geometry, PBE.

Geometry as POSCAR:
```
LiFeRh2
1.0
0.0000 2.9493 2.9493
2.9493 0.0000 2.9493
2.9493 2.9493 0.0000
Li Fe Rh
1 1 2
Direct
0.0000 0.0000 0.0000 Li
0.5000 0.5000 0.5000 Fe
0.2500 0.2500 0.2500 Rh
0.7500 0.7500 0.7500 Rh
```

***

Run 2
LiFeRh2: optimized geometry, PBE.

Geometry as POSCAR:
```
LiFeRh2
1.0
2.6683 0.0000 0.0000
0.0000 3.8955 0.0000
0.0000 0.0000 5.0555
Li Fe Rh
1 1 2
Direct
0.0000 0.0000 0.0000 Li
0.5000 0.5000 0.7411 Fe
0.0000 0.0000 0.5046 Rh
0.5000 0.5000 0.2289 Rh
```

***

Run 3
LiFeRh2: optimized geometry, PBE.

Geometry as POSCAR:
```
LiFeRh2
1.0
1.4328 -2.2469 0.0000
1.4328 2.2469 0.0000
0.0000 0.0000 8.5157
Li Fe Rh
1 1 2
Direct
0.0000 0.0000 0.0000 Li
0.0000 0.0000 0.5000 Fe
0.5000 0.5000 0.2557 Rh
0.5000 0.5000 0.7443 Rh
```

***

Run 4
LiFeRh2: optimized geometry, PBE.

Geometry as POSCAR:
```
LiFeRh2
1.0
0.0000 3.0065 3.0065
3.0065 0.0000 3.0065
3.0065 3.0065 0.0000
Li Fe Rh
1 1 2
Direct
0.0000 0.0000 0.0000 Li
0.2500 0.2500 0.2500 Fe
0.5000 0.5000 0.5000 Rh
0.7500 0.7500 0.7500 Rh
```

***

Stability ranking, top entry: run 1; the second entry is 88 meV per atom less favorable.

***

Run 1
LiFeRh2: optimized geometry, PBE.

Geometry as POSCAR:
```
LiFeRh2
1.0
4.7906 -1.3522 0.0000
4.7906 1.3522 0.0000
-1.8659 0.0000 4.0677
Li Fe Rh
1 1 2
Direct
0.0000 0.0000 0.0000 Li
0.2431 0.2431 0.5818 Fe
0.4972 0.4972 0.5046 Rh
0.7525 0.7525 0.0895 Rh
```

***

Run 2
LiFeRh2: optimized geometry, PBE.

Geometry as POSCAR:
```
LiFeRh2
1.0
-1.8120 1.8120 3.9494
1.8120 -1.8120 3.9494
1.8120 1.8120 -3.9494
Li Fe Rh
1 1 2
Direct
0.0000 0.0000 0.0000 Li
0.7500 0.2500 0.5000 Fe
0.2500 0.7500 0.5000 Rh
0.5000 0.5000 0.0000 Rh
```

***

Stability ranking, top entry: run 1; the second entry is 45 meV per atom less favorable.

***

Run 1
LiFeRh2: optimized geometry, PBE.

Geometry as POSCAR:
```
LiFeRh2
1.0
-1.4277 2.2717 4.1945
1.4277 -2.2717 4.1945
1.4277 2.2717 -4.1945
Li Fe Rh
1 1 2
Direct
0.0000 0.0000 0.0000 Li
0.5000 0.5000 0.0000 Fe
0.2586 0.7586 0.5000 Rh
0.7414 0.2414 0.5000 Rh
```

***

Run 2
LiFeRh2: optimized geometry, PBE.

Geometry as POSCAR:
```
LiFeRh2
1.0
1.3538 0.7816 8.5722
-1.3538 0.7816 8.5722
0.0000 -1.5633 8.5722
Li Fe Rh
1 1 2
Direct
0.0000 0.0000 0.0000 Li
0.5000 0.5000 0.5000 Fe
0.2481 0.2481 0.2481 Rh
0.7519 0.7519 0.7519 Rh
```

***

Run 3
LiFeRh2: optimized geometry, PBE.

Geometry as POSCAR:
```
LiFeRh2
1.0
4.2101 -1.3482 0.0000
4.2101 1.3482 0.0000
-0.7798 0.0000 4.7048
Li Fe Rh
1 1 2
Direct
0.0000 0.0000 0.0000 Li
0.5000 0.5000 0.5000 Fe
0.2456 0.2456 0.7529 Rh
0.7544 0.7544 0.2471 Rh
```

***

Run 4
LiFeRh2: optimized geometry, PBE.

Geometry as POSCAR:
```
LiFeRh2
1.0
2.8391 0.0000 0.0000
0.0000 4.1696 0.0000
0.0000 0.0000 4.5349
Li Fe Rh
1 1 2
Direct
0.0000 0.0000 0.0000 Li
0.5000 0.0000 0.5000 Fe
0.0000 0.5000 0.5000 Rh
0.5000 0.5000 0.0000 Rh
```

***

Stability ranking, top entry: run 2; the second entry is 7 meV per atom less favorable.

***

Run 1
LiFeRh2: optimized geometry, PBE.

Geometry as POSCAR:
```
LiFeRh2
1.0
-3.3136 3.3136 2.6573
3.3136 -3.3136 2.6573
3.3136 3.3136 -2.6573
Li Fe Rh
2 2 4
Direct
0.0000 0.0000 0.0000 Li
0.7500 0.2500 0.5000 Li
0.2500 0.7500 0.5000 Fe
0.5000 0.5000 0.0000 Fe
0.1451 0.6250 0.0201 Rh
0.3750 0.3951 0.5201 Rh
0.6049 0.1250 0.9799 Rh
0.8750 0.8549 0.4799 Rh
```

***

Run 2
LiFeRh2: optimized geometry, PBE.

Geometry as POSCAR:
```
LiFeRh2
1.0
1.3557 0.7827 8.4991
-1.3557 0.7827 8.4991
0.0000 -1.5655 8.4991
Li Fe Rh
1 1 2
Direct
0.0000 0.0000 0.0000 Li
0.8334 0.8334 0.8334 Fe
0.2476 0.2476 0.2476 Rh
0.4190 0.4190 0.4190 Rh
```

***

Stability ranking, top entry: run 2; the second entry is 394 meV per atom less favorable.

***

Run 1
LiFeRh2: optimized geometry, PBE.

Geometry as POSCAR:
```
LiFeRh2
1.0
4.1138 0.0000 0.0000
0.0000 4.1138 0.0000
0.0000 0.0000 3.0296
Li Fe Rh
1 1 2
Direct
0.0000 0.0000 0.0000 Li
0.5000 0.5000 0.0000 Fe
0.0000 0.5000 0.5000 Rh
0.5000 0.0000 0.5000 Rh
```

***

Run 2
LiFeRh2: optimized geometry, PBE.

Geometry as POSCAR:
```
LiFeRh2
1.0
2.9880 0.0000 0.0000
0.0000 2.9880 0.0000
0.0000 0.0000 5.7824
Li Fe Rh
1 1 2
Direct
0.0000 0.0000 0.0000 Li
0.0000 0.0000 0.5000 Fe
0.5000 0.5000 0.2475 Rh
0.5000 0.5000 0.7525 Rh
```

***

Stability ranking, top entry: run 1; the second entry is 6 meV per atom less favorable.